(1)
Ba3Hg2I: relaxed, GGA-PBE.

Cell: 6.1264 18.3301 4.1493 Å, 90.00 90.00 90.00°
Last column: nearest neighbours and their distance in Å.
Element x y z (fractional)
Ba: 0.2500 0.0746 0.9998  6 Hg 3.53-3.70, 2 I 3.82-3.83
Ba: 0.2500 0.4254 0.9998  6 Hg 3.53-3.70, 2 I 3.82-3.83
Ba: 0.2500 0.7500 0.0003  4 I 3.70, 4 Hg 3.72
Ba: 0.7500 0.2500 0.9997  4 I 3.70, 4 Hg 3.72
Ba: 0.7500 0.5746 0.0002  6 Hg 3.53-3.70, 2 I 3.82-3.83
Ba: 0.7500 0.9254 0.0002  6 Hg 3.53-3.70, 2 I 3.82-3.83
Hg: 0.2500 0.5815 0.5003  8 Ba 3.53-3.72
Hg: 0.2500 0.9185 0.5003  8 Ba 3.53-3.72
Hg: 0.7500 0.0815 0.4997  8 Ba 3.53-3.72
Hg: 0.7500 0.4185 0.4997  8 Ba 3.53-3.72
I: 0.2500 0.2500 0.4991  8 Ba 3.70-3.83
I: 0.7500 0.7500 0.5009  8 Ba 3.70-3.83

Formation energy from raw total energies in eV per atom: -0.747

=====

(2)
BaHg3I: relaxed, GGA-PBE.

Cell: 6.7498 6.7498 6.7498 Å, 90.00 90.00 90.00°
Last column: nearest neighbours and their distance in Å.
Element x y z (fractional)
Ba: 0.0000 0.0000 0.0000  6 Hg 3.37
Hg: 0.0000 0.0000 0.5000  2 Ba 3.37
Hg: 0.0000 0.5000 0.0000  2 Ba 3.37
Hg: 0.5000 0.0000 0.0000  2 Ba 3.37
I: 0.5000 0.5000 0.5000  12 Hg 4.77

Formation energy from raw total energies in eV per atom: -0.092
Offset from the most stable computed form in eV/f.u.: 0.00

=====

(3)
Ba4HgI2: relaxed, GGA-PBE.

Cell: 8.4189 8.4189 17.8803 Å, 90.00 90.00 148.17°
Last column: nearest neighbours and their distance in Å.
Element x y z (fractional)
Ba: 0.0000 0.0000 0.0000  4 I 3.55
Ba: 0.0000 0.0000 0.5000  4 I 3.55
Ba: 0.3036 0.6964 0.6359  2 Hg 3.50, 3 I 3.61-3.62
Ba: 0.3036 0.6964 0.8641  2 Hg 3.50, 3 I 3.61-3.62
Ba: 0.4326 0.5674 0.2500  2 Hg 3.49, 2 I 3.63
Ba: 0.5674 0.4326 0.7500  2 Hg 3.49, 2 I 3.63
Ba: 0.6964 0.3036 0.1359  2 Hg 3.50, 3 I 3.61-3.62
Ba: 0.6964 0.3036 0.3641  2 Hg 3.50, 3 I 3.61-3.62
Hg: 0.0941 0.9059 0.2500  6 Ba 3.49-3.50
Hg: 0.9059 0.0941 0.7500  6 Ba 3.49-3.50
I: 0.3479 0.6521 0.0621  6 Ba 3.55-3.63
I: 0.3479 0.6521 0.4379  6 Ba 3.55-3.63
I: 0.6521 0.3479 0.5621  6 Ba 3.55-3.63
I: 0.6521 0.3479 0.9379  6 Ba 3.55-3.63

Formation energy from raw total energies in eV per atom: -0.879

=====

(4)
BaHg2I: relaxed, GGA-PBE.

Cell: 4.9876 4.9876 5.7579 Å, 90.00 90.00 90.00°
Last column: nearest neighbours and their distance in Å.
Element x y z (fractional)
Ba: 0.0000 0.0000 0.0000  4 I 3.53, 8 Hg 3.81
Hg: 0.0000 0.5000 0.5000  4 Hg 3.53, 4 Ba 3.81, 4 I 3.81
Hg: 0.5000 0.0000 0.5000  4 Hg 3.53, 4 Ba 3.81, 4 I 3.81
I: 0.5000 0.5000 0.0000  4 Ba 3.53, 8 Hg 3.81

Formation energy from raw total energies in eV per atom: -0.747
Offset from the most stable computed form in eV/f.u.: 0.29